Here is SnPb2O6 after structural relaxation from Alexandria. Energies are from PBE.

Computed properties:
calculated density: 7.784 g cm⁻³
calculated total energy: -101.52 eV/cell
M_tot: 0.00 μB per cell
energy relative to the elements, uncorrected: -1.07 eV/atom

POSCAR file:
```
SnPb2O6
1.0
5.077 0.000 0.000
0.000 5.712 0.000
0.000 0.000 9.254
Sn Pb O
2 4 12
direct
0.000 0.000 0.000
0.500 0.500 0.500
0.000 0.500 0.189
0.000 0.500 0.811
0.500 0.000 0.311
0.500 0.000 0.689
0.194 0.319 0.000
0.227 0.838 0.163
0.227 0.838 0.837
0.273 0.338 0.337
0.273 0.338 0.663
0.306 0.819 0.500
0.694 0.181 0.500
0.727 0.662 0.337
0.727 0.662 0.663
0.773 0.162 0.163
0.773 0.162 0.837
0.806 0.681 0.000
```

=====

Here is BeTlRhAu2 after structural relaxation from Alexandria. Energies are from PBE.

Computed properties:
calculated density: 13.356 g cm⁻³
calculated total energy: -19.32 eV/cell
ΔH_f (0 K): 136 meV per atom
M_tot: 0.00 μB per cell

POSCAR file:
```
BeTlRhAu2
1.0
4.533 0.000 0.000
0.000 4.533 0.000
0.000 0.000 4.298
Be Tl Rh Au
1 1 1 2
direct
0.000 0.000 0.000
0.500 0.500 0.500
0.000 0.000 0.500
0.000 0.500 0.000
0.500 0.000 0.000
```

=====

Here is HfTiAlHg after structural relaxation from Alexandria. Energies are from PBE.

Computed properties:
calculated density: 10.104 g cm⁻³
calculated total energy: -22.68 eV/cell
ΔH_f (0 K): -198 meV per atom
energy above the lowest structure with this stoichiometry: 0.0000 eV/atom
M_tot: 0.00 μB per cell

POSCAR file:
```
HfTiAlHg
1.0
2.944 0.000 0.000
0.000 2.944 0.000
0.000 0.000 8.609
Hf Ti Al Hg
1 1 1 1
direct
0.000 0.000 0.000
0.000 0.000 0.542
0.500 0.500 0.761
0.500 0.500 0.281
```

=====

Here is NbCNO2 after structural relaxation from Alexandria. Energies are from PBE.

Computed properties:
calculated density: 6.113 g cm⁻³
calculated total energy: -34.85 eV/cell
M_tot: 0.00 μB per cell
energy relative to the elements, uncorrected: 0.54 eV/atom

POSCAR file:
```
NbCNO2
1.0
3.427 0.000 0.000
0.000 3.427 0.000
0.000 0.000 3.490
Nb C N O
1 1 1 2
direct
0.000 0.000 0.000
0.500 0.500 0.500
0.500 0.500 0.000
0.000 0.500 0.500
0.500 0.000 0.500
```

=====

Here is CdCoP after structural relaxation from Alexandria. Energies are from PBE.

Computed properties:
calculated density: 7.012 g cm⁻³
calculated total energy: -13.70 eV/cell
ΔH_f (0 K): -89 meV per atom
M_tot: 0.00 μB per cell

POSCAR file:
```
CdCoP
1.0
3.740 0.000 0.000
-1.870 3.239 0.000
0.000 0.000 3.955
Cd Co P
1 1 1
direct
0.000 0.000 0.000
0.667 0.333 0.500
0.333 0.667 0.500
```

=====

Here is POsN after structural relaxation from Alexandria. Energies are from PBE.

Computed properties:
calculated density: 10.234 g cm⁻³
calculated total energy: -24.47 eV/cell
energy above the lowest structure with this stoichiometry: 0.0448 eV/atom
M_tot: 0.00 μB per cell
energy relative to the elements, uncorrected: 0.16 eV/atom

POSCAR file:
```
POsN
1.0
-1.332 1.477 4.850
1.332 -1.477 4.850
1.332 1.477 -4.850
P Os N
1 1 1
direct
0.000 0.000 0.000
0.319 0.819 0.500
0.105 0.605 0.500
```

=====

Here is PuFeIr after structural relaxation from Alexandria. Energies are from PBE.

Computed properties:
calculated density: 16.057 g cm⁻³
calculated total energy: -64.58 eV/cell
ΔH_f (0 K): -212 meV per atom
M_tot: 4.65 μB per cell

POSCAR file:
```
PuFeIr
1.0
2.885 -2.792 0.000
2.885 2.792 0.000
-1.053 0.000 6.317
Pu Fe Ir
2 2 2
direct
0.063 0.063 0.294
0.937 0.937 0.706
0.000 0.500 0.000
0.500 0.000 0.000
0.447 0.447 0.703
0.553 0.553 0.297
```

=====

Here is Tb4SbI5 after structural relaxation from Alexandria. Energies are from PBE.

Computed properties:
calculated density: 6.431 g cm⁻³
calculated total energy: -41.78 eV/cell
M_tot: 0.00 μB per cell
energy relative to the elements, uncorrected: -1.14 eV/atom

POSCAR file:
```
Tb4SbI5
1.0
9.572 -2.147 0.000
9.572 2.147 0.000
-1.873 0.000 8.744
Tb Sb I
4 1 5
direct
0.001 0.001 0.224
0.346 0.346 0.926
0.654 0.654 0.074
0.999 0.999 0.776
0.500 0.500 0.000
0.167 0.167 0.331
0.172 0.172 0.825
0.500 0.500 0.500
0.828 0.828 0.175
0.833 0.833 0.669
```